A) Ta2CrRu: relaxed, PBE-GGA.

Computed properties:
- Space group: No. 44

Cell lengths 5.262, 5.262, 5.262 Å; angles 145.31, 130.74, 61.65 degrees
Positions (direct):
Ta 0.000 0.000 0.000
Ta 0.740 0.240 0.500
Cr 0.239 0.739 0.500
Ru 0.491 0.491 0.000

---

B) Ta2CrRu: relaxed, PBE-GGA.

Computed properties:
- Space group: No. 166

Cell lengths 8.282, 8.282, 8.282 Å; angles 20.97, 20.97, 20.97 degrees
Positions (direct):
Ta 0.247 0.247 0.247
Ta 0.753 0.753 0.753
Cr 0.500 0.500 0.500
Ru 0.000 0.000 0.000

---

The structure with the most favorable energy is A); the runner-up is 0.275 eV/atom above it.

---

A) Ta2CrRu: relaxed, PBE-GGA.

Computed properties:
- Space group: No. 123

Cell lengths 3.125, 3.125, 6.301 Å; angles 90.00, 90.00, 90.00 degrees
Positions (direct):
Ta 0.000 0.000 0.239
Ta 0.000 0.000 0.761
Cr 0.500 0.500 0.000
Ru 0.500 0.500 0.500

---

B) Ta2CrRu: relaxed, PBE-GGA.

Computed properties:
- Space group: No. 225

Cell lengths 4.435, 4.435, 4.435 Å; angles 60.00, 60.00, 60.00 degrees
Positions (direct):
Ta 0.250 0.250 0.250
Ta 0.750 0.750 0.750
Cr 0.000 0.000 0.000
Ru 0.500 0.500 0.500

---

C) Ta2CrRu: relaxed, PBE-GGA.

Computed properties:
- Space group: No. 47

Cell lengths 3.164, 4.274, 4.619 Å; angles 90.00, 90.00, 90.00 degrees
Positions (direct):
Ta 0.000 0.000 0.000
Ta 0.500 0.000 0.500
Cr 0.000 0.500 0.500
Ru 0.500 0.500 0.000

---

D) Ta2CrRu: relaxed, PBE-GGA.

Computed properties:
- Space group: No. 12

Cell lengths 4.419, 4.419, 5.261 Å; angles 100.37, 100.37, 39.40 degrees
Positions (direct):
Ta 0.245 0.245 0.242
Ta 0.755 0.755 0.758
Cr 0.500 0.500 0.000
Ru 0.000 0.000 0.500

---

The structure with the most favorable energy is A); the runner-up is 0.020 eV/atom above it.

---

A) CrTcRu2: relaxed, PBE-GGA.

Computed properties:
- Space group: No. 160

Cell lengths 8.896, 8.896, 8.896 Å; angles 17.38, 17.38, 17.38 degrees
Positions (direct):
Cr 0.000 0.000 0.000
Tc 0.249 0.249 0.249
Ru 0.499 0.499 0.499
Ru 0.744 0.744 0.744

---

B) CrTcRu2: relaxed, PBE-GGA.

Computed properties:
- Space group: No. 225

Cell lengths 4.279, 4.279, 4.279 Å; angles 60.00, 60.00, 60.00 degrees
Positions (direct):
Cr 0.000 0.000 0.000
Tc 0.500 0.500 0.500
Ru 0.250 0.250 0.250
Ru 0.750 0.750 0.750

---

The structure with the most favorable energy is A); the runner-up is 0.263 eV/atom above it.

---

A) CrTcRu2: relaxed, PBE-GGA.

Computed properties:
- Space group: No. 25

Cell lengths 2.702, 3.742, 5.412 Å; angles 90.00, 90.00, 90.00 degrees
Positions (direct):
Cr 0.000 0.000 0.000
Tc 0.500 0.500 0.742
Ru 0.000 0.000 0.491
Ru 0.500 0.500 0.218

---

B) CrTcRu2: relaxed, PBE-GGA.

Computed properties:
- Space group: No. 47

Cell lengths 2.691, 3.765, 5.386 Å; angles 90.00, 90.00, 90.00 degrees
Positions (direct):
Cr 0.000 0.000 0.000
Tc 0.000 0.000 0.500
Ru 0.500 0.500 0.241
Ru 0.500 0.500 0.759

---

The structure with the most favorable energy is B); the runner-up is 0.028 eV/atom above it.

---

A) CrTcRu2: relaxed, PBE-GGA.

Computed properties:
- Space group: No. 35

Cell lengths 2.646, 2.646, 8.694 Å; angles 90.00, 90.00, 114.51 degrees
Positions (direct):
Cr 0.000 0.000 0.000
Tc 0.500 0.500 0.762
Ru 0.000 0.000 0.502
Ru 0.500 0.500 0.237

---

B) CrTcRu2: relaxed, PBE-GGA.

Computed properties:
- Space group: No. 216

Cell lengths 4.284, 4.284, 4.284 Å; angles 60.00, 60.00, 60.00 degrees
Positions (direct):
Cr 0.000 0.000 0.000
Tc 0.250 0.250 0.250
Ru 0.500 0.500 0.500
Ru 0.750 0.750 0.750

---

The structure with the most favorable energy is A); the runner-up is 0.024 eV/atom above it.

---

A) CrTcRu2: relaxed, PBE-GGA.

Computed properties:
- Space group: No. 65

Cell lengths 2.644, 2.644, 8.746 Å; angles 90.00, 90.00, 115.07 degrees
Positions (direct):
Cr 0.000 0.000 0.000
Tc 0.000 0.000 0.500
Ru 0.500 0.500 0.237
Ru 0.500 0.500 0.763

---

B) CrTcRu2: relaxed, PBE-GGA.

Computed properties:
- Space group: No. 44

Cell lengths 5.147, 5.147, 5.147 Å; angles 147.53, 130.19, 60.72 degrees
Positions (direct):
Cr 0.000 0.000 0.000
Tc 0.783 0.283 0.500
Ru 0.224 0.724 0.500
Ru 0.510 0.510 0.000

---

The structure with the most favorable energy is B); the runner-up is 0.119 eV/atom above it.

---

A) CrTcRu2: relaxed, PBE-GGA.

Computed properties:
- Space group: No. 8

Cell lengths 4.644, 4.644, 4.646 Å; angles 100.60, 100.60, 33.79 degrees
Positions (direct):
Cr 0.000 0.000 0.000
Tc 0.257 0.257 0.735
Ru 0.499 0.499 0.493
Ru 0.751 0.751 0.223

---

B) CrTcRu2: relaxed, PBE-GGA.

Computed properties:
- Space group: No. 6

Cell lengths 2.709, 4.099, 5.118 Å; angles 90.00, 105.31, 90.00 degrees
Positions (direct):
Cr 0.000 0.000 0.000
Tc 0.876 0.500 0.748
Ru 0.261 0.000 0.518
Ru 0.609 0.500 0.217

---

The structure with the most favorable energy is B); the runner-up is 0.020 eV/atom above it.

---

A) CrTcRu2: relaxed, PBE-GGA.

Computed properties:
- Space group: No. 10

Cell lengths 4.633, 2.692, 4.643 Å; angles 90.00, 109.39, 90.00 degrees
Positions (direct):
Cr 0.000 0.000 0.000
Tc 0.500 0.500 0.000
Ru 0.000 0.500 0.500
Ru 0.500 0.000 0.500

---

B) CrTcRu2: relaxed, PBE-GGA.

Computed properties:
- Space group: No. 123

Cell lengths 2.695, 2.695, 7.487 Å; angles 90.00, 90.00, 90.00 degrees
Positions (direct):
Cr 0.000 0.000 0.000
Tc 0.000 0.000 0.500
Ru 0.500 0.500 0.237
Ru 0.500 0.500 0.763

---

C) CrTcRu2: relaxed, PBE-GGA.

Computed properties:
- Space group: No. 160

Cell lengths 8.732, 8.732, 8.732 Å; angles 17.84, 17.84, 17.84 degrees
Positions (direct):
Cr 0.000 0.000 0.000
Tc 0.166 0.166 0.166
Ru 0.416 0.416 0.416
Ru 0.587 0.587 0.587

---

D) CrTcRu2: relaxed, PBE-GGA.

Computed properties:
- Space group: No. 122

Cell lengths 8.973, 8.973, 8.973 Å; angles 156.05, 156.05, 34.13 degrees
Positions (direct):
Cr 0.000 0.000 0.000
Cr 0.750 0.250 0.500
Tc 0.250 0.750 0.500
Tc 0.500 0.500 0.000
Ru 0.108 0.625 0.983
Ru 0.375 0.358 0.483
Ru 0.642 0.125 0.017
Ru 0.875 0.892 0.517

---

The structure with the most favorable energy is C); the runner-up is 0.010 eV/atom above it.

---

A) CrTcRu2: relaxed, PBE-GGA.

Computed properties:
- Space group: No. 166

Cell lengths 8.879, 8.879, 8.879 Å; angles 17.40, 17.40, 17.40 degrees
Positions (direct):
Cr 0.000 0.000 0.000
Tc 0.500 0.500 0.500
Ru 0.253 0.253 0.253
Ru 0.747 0.747 0.747

---

B) CrTcRu2: relaxed, PBE-GGA.

Computed properties:
- Space group: No. 12

Cell lengths 4.650, 4.650, 4.634 Å; angles 100.12, 100.12, 33.62 degrees
Positions (direct):
Cr 0.000 0.000 0.000
Tc 0.500 0.500 0.500
Ru 0.255 0.255 0.756
Ru 0.745 0.745 0.244

---

The structure with the most favorable energy is B); the runner-up is 0.020 eV/atom above it.

---

A) CrTcRu2: relaxed, PBE-GGA.

Computed properties:
- Space group: No. 123

Cell lengths 4.444, 4.444, 2.865 Å; angles 90.00, 90.00, 90.00 degrees
Positions (direct):
Cr 0.000 0.000 0.000
Tc 0.500 0.500 0.000
Ru 0.000 0.500 0.500
Ru 0.500 0.000 0.500

---

B) CrTcRu2: relaxed, PBE-GGA.

Computed properties:
- Space group: No. 119

Cell lengths 4.668, 4.668, 4.668 Å; angles 132.31, 132.31, 69.75 degrees
Positions (direct):
Cr 0.000 0.000 0.000
Tc 0.750 0.250 0.500
Ru 0.250 0.750 0.500
Ru 0.500 0.500 0.000

---

The structure with the most favorable energy is B); the runner-up is 0.217 eV/atom above it.

---

A) CrTcRu2: relaxed, PBE-GGA.

Computed properties:
- Space group: No. 99

Cell lengths 2.690, 2.690, 7.538 Å; angles 90.00, 90.00, 90.00 degrees
Positions (direct):
Cr 0.000 0.000 0.000
Tc 0.500 0.500 0.749
Ru 0.000 0.000 0.495
Ru 0.500 0.500 0.229

---

B) CrTcRu2: relaxed, PBE-GGA.

Computed properties:
- Space group: No. 71

Cell lengths 5.215, 5.215, 5.215 Å; angles 148.64, 130.94, 59.39 degrees
Positions (direct):
Cr 0.000 0.000 0.000
Tc 0.500 0.500 0.000
Ru 0.221 0.721 0.500
Ru 0.779 0.279 0.500

---

C) CrTcRu2: relaxed, PBE-GGA.

Computed properties:
- Space group: No. 139

Cell lengths 4.635, 4.635, 4.635 Å; angles 131.59, 131.59, 70.88 degrees
Positions (direct):
Cr 0.000 0.000 0.000
Tc 0.500 0.500 0.000
Ru 0.250 0.750 0.500
Ru 0.750 0.250 0.500

---

The structure with the most favorable energy is C); the runner-up is 0.028 eV/atom above it.

---

A) Cr2TcRu2: relaxed, PBE-GGA.

Computed properties:
- Space group: No. 127

Cell lengths 7.112, 7.112, 2.698 Å; angles 90.00, 90.00, 90.00 degrees
Positions (direct):
Cr 0.166 0.334 0.000
Cr 0.334 0.834 0.000
Cr 0.666 0.166 0.000
Cr 0.834 0.666 0.000
Tc 0.000 0.000 0.500
Tc 0.500 0.500 0.500
Ru 0.132 0.632 0.500
Ru 0.368 0.132 0.500
Ru 0.632 0.868 0.500
Ru 0.868 0.368 0.500

---

B) Cr2TcRu2: relaxed, PBE-GGA.

Computed properties:
- Space group: No. 127

Cell lengths 7.030, 7.030, 2.728 Å; angles 90.00, 90.00, 90.00 degrees
Positions (direct):
Cr 0.124 0.376 0.000
Cr 0.376 0.876 0.000
Cr 0.624 0.124 0.000
Cr 0.876 0.624 0.000
Tc 0.000 0.000 0.000
Tc 0.500 0.500 0.000
Ru 0.173 0.673 0.500
Ru 0.327 0.173 0.500
Ru 0.673 0.827 0.500
Ru 0.827 0.327 0.500

---

The structure with the most favorable energy is B); the runner-up is 0.050 eV/atom above it.